Computed, not measured: LaZnAs2O after structural relaxation at the PBE level of DFT.

Lattice parameters (Å, degrees): 5.6699 6.2028 5.6699 90.00 90.00 90.00
Site moments in Bohr magnetons follow the coordinates.
Fractional positions:
1 As 0.0000 0.0000 0.5000  0.29
2 As 0.5000 0.0000 0.0000  0.12
3 Zn 0.0000 0.5000 0.0000  0.01
4 O 0.5000 0.5000 0.5000  -0.02
5 La 0.0000 0.0000 0.0000  0.08

Output
magnetic moment = 1.0 μB/f.u.
E_form (uncorrected) = 1.16 eV/atom